This record from the Alexandria database describes an optimized crystal structure of Al2GeRh. The functional is PBE-GGA.

- energy relative to the elements (eV per atom) = -0.0568
- crystal system = tetragonal
- total moment (μB per formula unit) = 0.00

Cell lengths 7.890, 7.890, 6.073 Å; angles 49.49, 49.49, 90.00 degrees
Atoms (fractional coordinates):
Ge: 0.500 0.500 0.000
Ge: 0.250 0.750 0.500
Rh: 0.000 0.000 0.000
Rh: 0.750 0.250 0.500
Al: 0.700 0.125 0.250
Al: 0.050 0.625 0.250
Al: 0.375 0.300 0.750
Al: 0.875 0.950 0.750